[1]
Density functional theory data (PBE) for a relaxed structure of AlNiBiAs2.

## Properties
Calculated total energy   -15.1 eV for the cell shown
Crystal system   tetragonal
DOS(E_F)   1.467 states/eV per atom
Formation energy from the elements   7.6 eV/f.u.
Space group   No. 123

Structure (POSCAR):
```
AlNiBiAs2
1.0
5.4302 0.0000 0.0000
0.0000 5.2857 0.0000
0.0000 0.0000 5.4302
Ni As Bi Al
1 2 1 1
direct
0.5000 0.5000 0.5000
0.0000 0.0000 0.5000
0.5000 0.0000 0.0000
0.0000 0.0000 0.0000
0.0000 0.5000 0.0000
```

[2]
Density functional theory data (PBE) for a relaxed structure of CaFe3I.

## Properties
Calculated total energy   -19.4 eV for the cell shown
Formation energy from raw total energies   9.54 eV per formula unit
Crystal system   cubic
Distance to the lowest polymorph of the same formula   861 meV/atom
DOS(E_F)   1.463 states/eV per atom
Space group   No. 221

Structure (POSCAR):
```
CaFe3I
1.0
-0.3307 3.2913 3.5593
1.1342 -3.4160 3.2642
4.7132 1.0530 -0.5358
I Ca Fe
1 1 3
direct
0.5000 0.5000 0.5000
0.0000 0.0000 0.0000
0.0000 0.5000 0.0000
0.0000 0.0000 0.5000
0.5000 0.0000 0.0000
```